No. 1
This record from Alexandria via LeMat-Bulk describes a geometry-optimized CsLiLaI4 structure. The functional is PBE.

Unit cell a=6.8917 b=8.0878 c=11.6259 alpha=90.00 beta=117.52 gamma=90.00
With the nearest neighbours (Å) after each atom.
Element x y z (fractional)
I 0.9340 0.4869 0.2694  1 Li 2.72
La 0.1126 0.2500 0.5273  6 I 3.28-3.62, 1 Li 3.53
I 0.3885 0.7500 0.1543  1 Li 2.60
Li 0.7994 0.2500 0.6969  4 I 2.60-2.72
I 0.0660 0.9869 0.7306  1 Li 2.72
I 0.6115 0.2500 0.8457  1 Li 2.60
I 0.4459 0.7500 0.5592  1 Li 2.66
Cs 0.6901 0.7500 0.9260  6 I 3.79-4.13, 1 Li 4.17
Cs 0.3099 0.2500 0.0740  6 I 3.79-4.13, 1 Li 4.17
I 0.5541 0.2500 0.4408  1 Li 2.66
I 0.0660 0.5131 0.7306  1 Li 2.72
La 0.8874 0.7500 0.4727  6 I 3.28-3.62, 1 Li 3.53
Li 0.2006 0.7500 0.3031  4 I 2.60-2.72
I 0.9340 0.0131 0.2694  1 Li 2.72

- E_form (uncorrected) (meV per atom) = -1305
- size of the total moment (μB per cell) = 0.68
- energy (eV per atom) = -3.290
- SG = No. 11
- DOS(E_F) (states/eV/f.u.) = 2.7

***

No. 2
This record from Alexandria via LeMat-Bulk describes a geometry-optimized CsLi2LaI6 structure. The functional is PBE.

Unit cell a=7.7033 b=7.7001 c=10.4188 alpha=90.06 beta=111.69 gamma=119.99
With the nearest neighbours (Å) after each atom.
Element x y z (fractional)
Cs 0.9971 0.4983 0.4803  6 I 3.90-3.91
I 0.5296 0.9386 0.7956  2 Li 3.03-3.10, 1 La 3.18
Li 0.3323 0.6655 0.9838  6 I 3.03-3.10
I 0.1231 0.4063 0.1651  2 Li 3.03-3.10, 1 La 3.18
I 0.7736 0.7162 0.1651  2 Li 3.03-3.10, 1 La 3.18
I 0.2192 0.2791 0.7953  2 Li 3.03-3.10, 1 La 3.18
I 0.4634 0.0570 0.1650  2 Li 3.03-3.10, 1 La 3.18
I 0.8702 0.5890 0.7954  2 Li 3.03-3.10, 1 La 3.18
La 0.9963 0.9976 0.9801  6 I 3.18
Li 0.6606 0.3301 0.9768  6 I 3.03-3.10

- E_form (uncorrected) (meV per atom) = -1400
- size of the total moment (μB per cell) = 0.00
- energy (eV per atom) = -3.291
- SG = No. 1
- DOS(E_F) (states/eV/f.u.) = 0.0

***

No. 3
This record from Alexandria via LeMat-Bulk describes a geometry-optimized CsLaMgI6 structure. The functional is PBE.

Unit cell a=7.9717 b=7.9718 c=8.6625 alpha=90.01 beta=89.99 gamma=59.99
With the nearest neighbours (Å) after each atom.
Element x y z (fractional)
I 0.0205 0.6187 0.7037  1 Mg 2.97, 1 La 3.18
Mg 0.3333 0.3334 0.5000  6 I 2.97
Cs 0.0000 0.0000 0.0000  6 I 3.92
I 0.3608 0.0207 0.7038  1 Mg 2.97, 1 La 3.18
I 0.6186 0.0205 0.2963  1 Mg 2.97, 1 La 3.18
I 0.6185 0.3609 0.7037  1 Mg 2.97, 1 La 3.18
I 0.3608 0.6185 0.2962  1 Mg 2.97, 1 La 3.18
I 0.0207 0.3608 0.2962  1 Mg 2.97, 1 La 3.18
La 0.6666 0.6666 0.5000  6 I 3.18

- E_form (uncorrected) (meV per atom) = -1365
- size of the total moment (μB per cell) = 0.00
- energy (eV per atom) = -3.218
- SG = No. 149
- DOS(E_F) (states/eV/f.u.) = 0.0

***

No. 4
This record from Alexandria via LeMat-Bulk describes a geometry-optimized Cs2LaMoI6 structure. The functional is PBE.

Unit cell a=8.4457 b=8.4457 c=8.4451 alpha=60.00 beta=60.00 gamma=90.00
With the nearest neighbours (Å) after each atom.
Element x y z (fractional)
Cs 0.2500 0.7500 0.5000  12 I 4.23
I 0.2640 0.7360 0.0000  1 Mo 2.82, 1 La 3.15
I 0.7360 0.7360 0.5281  1 Mo 2.82, 1 La 3.15
Mo 0.5000 0.5000 0.0000  6 I 2.82
I 0.2640 0.2640 0.4719  1 Mo 2.82, 1 La 3.15
Cs 0.7500 0.2500 0.5000  12 I 4.23
I 0.2640 0.2640 0.0000  1 Mo 2.82, 1 La 3.15
I 0.7360 0.7360 0.0000  1 Mo 2.82, 1 La 3.15
La 0.0000 0.0000 0.0000  6 I 3.15
I 0.7360 0.2640 0.0000  1 Mo 2.82, 1 La 3.15

- E_form (uncorrected) (meV per atom) = -911
- size of the total moment (μB per cell) = 1.00
- energy (eV per atom) = -3.588
- SG = No. 225
- DOS(E_F) (states/eV/f.u.) = 6.4

***

No. 5
This record from Alexandria via LeMat-Bulk describes a geometry-optimized CsLaI2N structure. The functional is PBE.

Unit cell a=6.7386 b=6.7386 c=4.3449 alpha=90.00 beta=90.00 gamma=90.00
With the nearest neighbours (Å) after each atom.
Element x y z (fractional)
N 0.0000 0.0000 0.5000  2 La 2.17
I 0.0000 0.5000 0.0000  2 La 3.37
La 0.0000 0.0000 0.0000  2 N 2.17
I 0.5000 0.0000 0.0000  2 La 3.37
Cs 0.5000 0.5000 0.5000  8 I 4.01, 2 Cs 4.34

- E_form (uncorrected) (meV per atom) = -1024
- size of the total moment (μB per cell) = 0.29
- energy (eV per atom) = -4.465
- SG = No. 123
- DOS(E_F) (states/eV/f.u.) = 3.4

***

No. 6
This record from Alexandria via LeMat-Bulk describes a geometry-optimized CsLaI2N structure. The functional is PBE.

Unit cell a=6.4271 b=6.4271 c=4.2167 alpha=90.00 beta=90.00 gamma=90.00
With the nearest neighbours (Å) after each atom.
Element x y z (fractional)
I 0.0000 0.5000 0.0000  2 Cs 3.21
Cs 0.0000 0.0000 0.0000  2 N 2.11
I 0.5000 0.0000 0.0000  2 Cs 3.21
La 0.5000 0.5000 0.5000  8 I 3.84, 2 La 4.22
N 0.0000 0.0000 0.5000  2 Cs 2.11

- E_form (uncorrected) (meV per atom) = 565
- size of the total moment (μB per cell) = 0.30
- energy (eV per atom) = -2.877
- SG = No. 123
- DOS(E_F) (states/eV/f.u.) = 5.4

***

No. 7
This record from Alexandria via LeMat-Bulk describes a geometry-optimized CsLaIN2 structure. The functional is PBE.

Unit cell a=4.7176 b=4.7176 c=6.3723 alpha=90.00 beta=90.00 gamma=90.00
With the nearest neighbours (Å) after each atom.
Element x y z (fractional)
N 0.5000 0.0000 0.0000  2 Cs 2.36
I 0.0000 0.0000 0.5000  2 Cs 3.19, 4 La 3.34
N 0.0000 0.5000 0.0000  2 Cs 2.36
Cs 0.0000 0.0000 0.0000  4 N 2.36
La 0.5000 0.5000 0.5000  4 I 3.34

- E_form (uncorrected) (meV per atom) = 1370
- size of the total moment (μB per cell) = 1.21
- energy (eV per atom) = -3.426
- SG = No. 123
- DOS(E_F) (states/eV/f.u.) = 4.5

***

No. 8
This record from Alexandria via LeMat-Bulk describes a geometry-optimized CsLaIN2 structure. The functional is PBE.

Unit cell a=4.9295 b=4.9295 c=6.7238 alpha=90.00 beta=90.00 gamma=90.00
With the nearest neighbours (Å) after each atom.
Element x y z (fractional)
Cs 0.5000 0.5000 0.5000  4 I 3.49
N 0.0000 0.5000 0.0000  2 La 2.46
La 0.0000 0.0000 0.0000  4 N 2.46
I 0.0000 0.0000 0.5000  2 La 3.36, 4 Cs 3.49
N 0.5000 0.0000 0.0000  2 La 2.46

- E_form (uncorrected) (meV per atom) = 58
- size of the total moment (μB per cell) = 3.00
- energy (eV per atom) = -4.738
- SG = No. 123
- DOS(E_F) (states/eV/f.u.) = 3.4

***

No. 9
This record from Alexandria via LeMat-Bulk describes a geometry-optimized CsNaLa2I8 structure. The functional is PBE.

Unit cell a=8.3209 b=8.3209 c=9.6250 alpha=90.00 beta=90.00 gamma=120.00
With the nearest neighbours (Å) after each atom.
Element x y z (fractional)
I 0.6667 0.3333 0.4110  1 La 3.07
I 0.0657 0.3676 0.1569  1 Na 3.20, 2 La 3.25-3.37
Na 0.0000 0.0000 0.0000  6 I 3.20
La 0.3333 0.6667 0.9084  7 I 3.07-3.37
I 0.3333 0.6667 0.5890  1 La 3.07
I 0.9343 0.6324 0.8431  1 Na 3.20, 2 La 3.25-3.37
I 0.6324 0.6981 0.1569  1 Na 3.20, 2 La 3.25-3.37
I 0.6981 0.0657 0.8431  1 Na 3.20, 2 La 3.25-3.37
Cs 0.0000 0.0000 0.5000  6 I 4.35, 2 Na 4.81
I 0.3019 0.9343 0.1569  1 Na 3.20, 2 La 3.25-3.37
I 0.3676 0.3019 0.8431  1 Na 3.20, 2 La 3.25-3.37
La 0.6667 0.3333 0.0916  7 I 3.07-3.37

- E_form (uncorrected) (meV per atom) = -1451
- size of the total moment (μB per cell) = 0.00
- energy (eV per atom) = -3.487
- SG = No. 147
- DOS(E_F) (states/eV/f.u.) = 0.0

***

No. 10
This record from Alexandria via LeMat-Bulk describes a geometry-optimized Cs3Na2LaI8 structure. The functional is PBE.

Unit cell a=8.7751 b=8.7751 c=11.5315 alpha=90.00 beta=90.00 gamma=120.00
With the nearest neighbours (Å) after each atom.
Element x y z (fractional)
I 0.3333 0.6667 0.9272  1 Na 2.89
I 0.1653 0.3306 0.3350  1 Na 3.13, 1 La 3.15
Na 0.6667 0.3333 0.8221  4 I 2.89-3.13
La 0.0000 0.0000 0.5000  6 I 3.15
Cs 0.0000 0.0000 0.0000  12 I 4.61-5.14
I 0.1653 0.8347 0.3350  1 Na 3.13, 1 La 3.15
I 0.8347 0.6694 0.6650  1 Na 3.13, 1 La 3.15
I 0.6667 0.3333 0.0728  1 Na 2.89
I 0.8347 0.1653 0.6650  1 Na 3.13, 1 La 3.15
Cs 0.3333 0.6667 0.6115  1 I 3.64
I 0.6694 0.8347 0.3350  1 Na 3.13, 1 La 3.15
Na 0.3333 0.6667 0.1779  4 I 2.89-3.13
Cs 0.6667 0.3333 0.3885  1 I 3.64
I 0.3306 0.1653 0.6650  1 Na 3.13, 1 La 3.15

- E_form (uncorrected) (meV per atom) = -1404
- size of the total moment (μB per cell) = 0.00
- energy (eV per atom) = -3.013
- SG = No. 164
- DOS(E_F) (states/eV/f.u.) = 0.0

***

Number 1: calculated volume 574.7 Å³ per cell. Number 2: calculated volume 483.9 Å³ per cell. Number 3: calculated volume 476.7 Å³ per cell. Number 4: calculated volume 425.9 Å³ per cell. Number 5: calculated volume 197.3 Å³ per cell. Number 6: calculated volume 174.2 Å³ per cell. Number 7: calculated volume 141.8 Å³ per cell. Number 8: calculated volume 163.4 Å³ per cell. Number 9: calculated volume 577.1 Å³ per cell. Number 10: calculated volume 769.0 Å³ per cell.